Record 1
{"formula": "TlIr2PtAu", "functional": "PBE", "state": "optimized geometry", "lattice": [[4.983, 0.000, 0.000], [0.000, 4.983, 0.000], [0.000, 0.000, 4.974]], "species": ["Tl", "Ir", "Ir", "Pt", "Au"], "fractional_positions": [[0.000, 0.000, 0.000], [0.000, 0.500, 0.000], [0.500, 0.000, 0.000], [0.000, 0.000, 0.500], [0.500, 0.500, 0.500]], "magnetic_moment_mub_per_fu": 1.8, "mass_density_g_cm3": 13.187, "e_form_ev_per_atom": 2.147, "spacegroup": "P4/mmm"}

Record 2
{"formula": "Cd2Ag3F8", "functional": "PBE", "state": "optimized geometry", "lattice": [[6.371, -3.522, 0.000], [6.371, 3.522, 0.000], [-2.203, 0.000, 5.050]], "species": ["Cd", "Cd", "Ag", "Ag", "Ag", "F", "F", "F", "F", "F", "F", "F", "F"], "fractional_positions": [[0.235, 0.235, 0.028], [0.765, 0.765, 0.972], [0.251, 0.749, 0.500], [0.500, 0.500, 0.000], [0.749, 0.251, 0.500], [0.117, 0.117, 0.588], [0.130, 0.582, 0.969], [0.379, 0.379, 0.442], [0.418, 0.870, 0.031], [0.582, 0.130, 0.969], [0.621, 0.621, 0.558], [0.870, 0.418, 0.031], [0.883, 0.883, 0.412]], "magnetic_moment_mub_per_fu": 1.0, "mass_density_g_cm3": 5.132, "spacegroup": "C2/m", "formation_energy_uncorrected_kj_per_mol_fu": -1924}

Record 3
{"formula": "Al2SiNi", "functional": "PBE", "state": "optimized geometry", "lattice": [[5.921, 0.000, 0.000], [0.000, 4.172, 0.000], [0.000, 0.000, 4.802]], "species": ["Al", "Al", "Al", "Al", "Si", "Si", "Ni", "Ni"], "fractional_positions": [[0.000, 0.000, 0.000], [0.250, 0.500, 0.200], [0.500, 0.000, 0.000], [0.750, 0.500, 0.800], [0.250, 0.500, 0.702], [0.750, 0.500, 0.298], [0.250, 0.000, 0.440], [0.750, 0.000, 0.560]], "magnetic_moment_mub_per_fu": 0.0, "mass_density_g_cm3": 3.940, "spacegroup": "Pmma", "relative_energy_mev_per_atom": 286, "formation_energy_uncorrected_kj_per_mol_fu": -10}